SmMnIn4O8: relaxed, GGA+U.

- Total energy: -6.310 eV/atom

a = 6.6411 Å, b = 6.6411 Å, c = 16.1794 Å
α = 90.00°, β = 90.00°, γ = 120.00°
Space group R3m (No. 160, hexagonal axes)
One atom of each set of equivalent atoms:
Sm 0.0000 0.0000 0.0000 (multiplicity 3)
Mn 0.0000 0.0000 0.3773 (multiplicity 3)
In 0.0000 0.0000 0.7551 (multiplicity 3)
In 0.1672 0.3344 0.2107 (multiplicity 9)
O 0.0000 0.0000 0.1394 (multiplicity 3)
O 0.0000 0.0000 0.6184 (multiplicity 3)
O 0.0270 0.5135 0.1324 (multiplicity 9)
O 0.1834 0.3667 0.9552 (multiplicity 9)